The following is a PBE calculation of a relaxed LiMnCl2 crystal, from Alexandria.

Geometry as CIF:
```
data_LiMnCl2
_symmetry_space_group_name_H-M 'P 1 2/m 1'
_symmetry_Int_Tables_number 10
_cell_length_a 3.605
_cell_length_b 3.401
_cell_length_c 6.942
_cell_angle_alpha 90.00
_cell_angle_beta 104.55
_cell_angle_gamma 90.00
loop_
_symmetry_equiv_pos_as_xyz
'x,y,z'
'-x,-y,-z'
'-x,y,-z'
'x,-y,z'
loop_
_atom_site_label
_atom_site_type_symbol
_atom_site_fract_x
_atom_site_fract_y
_atom_site_fract_z
Li1 Li 0.000 0.000 0.000
Mn1 Mn 0.000 0.000 0.500
Cl1 Cl 0.150 0.500 0.772
```

Output
The calculation puts the formation energy from raw total energies at -0.814 eV/atom. Its energy above the most stable polymorph in this dataset is 148 meV/atom. The calculation puts the total DFT energy (no corrections) at -4.51 eV per atom.

***

The following is a PBE calculation of a relaxed Na2HfBiTe4 crystal, from Alexandria.

Geometry as CIF:
```
data_Na2HfBiTe4
_symmetry_space_group_name_H-M 'P 1 2/m 1'
_symmetry_Int_Tables_number 10
_cell_length_a 7.871
_cell_length_b 4.275
_cell_length_c 7.882
_cell_angle_alpha 90.00
_cell_angle_beta 107.81
_cell_angle_gamma 90.00
loop_
_symmetry_equiv_pos_as_xyz
'x,y,z'
'-x,-y,-z'
'-x,y,-z'
'x,-y,z'
loop_
_atom_site_label
_atom_site_type_symbol
_atom_site_fract_x
_atom_site_fract_y
_atom_site_fract_z
Na1 Na 0.000 0.000 0.000
Na2 Na 0.000 0.500 0.500
Hf1 Hf 0.500 0.000 0.500
Bi1 Bi 0.500 0.500 0.000
Te1 Te 0.273 0.000 0.734
Te2 Te 0.281 0.500 0.277
```

Output
The calculation puts the formation energy from raw total energies at -0.636 eV/atom. The calculation puts the total DFT energy (no corrections) at -4.27 eV per atom.

***

Please write out number 2 again, unchanged.
The following is a PBE calculation of a relaxed Na2HfBiTe4 crystal, from Alexandria.

Geometry as CIF:
```
data_Na2HfBiTe4
_symmetry_space_group_name_H-M 'P 1 2/m 1'
_symmetry_Int_Tables_number 10
_cell_length_a 7.871
_cell_length_b 4.275
_cell_length_c 7.882
_cell_angle_alpha 90.00
_cell_angle_beta 107.81
_cell_angle_gamma 90.00
loop_
_symmetry_equiv_pos_as_xyz
'x,y,z'
'-x,-y,-z'
'-x,y,-z'
'x,-y,z'
loop_
_atom_site_label
_atom_site_type_symbol
_atom_site_fract_x
_atom_site_fract_y
_atom_site_fract_z
Na1 Na 0.000 0.000 0.000
Na2 Na 0.000 0.500 0.500
Hf1 Hf 0.500 0.000 0.500
Bi1 Bi 0.500 0.500 0.000
Te1 Te 0.273 0.000 0.734
Te2 Te 0.281 0.500 0.277
```

Output
The calculation puts the formation energy from raw total energies at -0.636 eV/atom. The calculation puts the total DFT energy (no corrections) at -4.27 eV per atom.